# 1
Below is ZrCoCl after structural relaxation, with properties calculated at the PBE level.

The calculation puts the density at 5.07 g/cm3. The calculation puts the total energy at -6.216 eV/atom.

a b c (Å): 3.418 3.418 6.009
angles (deg): 90.00 90.00 120.00
Positions (direct):
1 Co 0.667 0.333 0.394
2 Zr 0.333 0.667 0.644
3 Cl 0.000 0.000 0.962

# 2
Below is ZrCo2Cl after structural relaxation, with properties calculated at the PBE level.

The calculation puts the density at 6.29 g/cm3. The energy above the lowest structure with this stoichiometry comes out at 1.88 eV per formula unit. The calculation puts the total energy at -5.889 eV/atom.

a b c (Å): 4.789 4.789 3.188
angles (deg): 90.00 90.00 117.99
Each line ends with the local moment (μB).
Positions (direct):
1 Co 0.000 0.000 0.000  1.54
2 Co 0.500 0.500 0.000  1.54
3 Zr 0.500 0.000 0.500  -0.23
4 Cl 0.000 0.500 0.500  0.09

# 3
Below is ZrCoCl2 after structural relaxation, with properties calculated at the PBE level.

The calculation puts the density at 4.33 g/cm3. The energy above the lowest structure with this stoichiometry comes out at 0.57 eV per formula unit. The calculation puts the total energy at -5.457 eV/atom.

a b c (Å): 3.234 3.234 8.116
angles (deg): 90.00 90.00 90.00
Each line ends with the local moment (μB).
Positions (direct):
1 Co 0.000 0.000 0.518  1.31
2 Zr 0.500 0.500 0.697  -0.15
3 Cl 0.000 0.000 0.919  0.00
4 Cl 0.500 0.500 0.367  0.04

# 4
Below is ZrCo2Cl after structural relaxation, with properties calculated at the PBE level.

The calculation puts the density at 6.16 g/cm3. The energy above the lowest structure with this stoichiometry comes out at 2.33 eV per formula unit. The calculation puts the total energy at -5.776 eV/atom.

a b c (Å): 4.404 4.404 7.474
angles (deg): 72.86 72.86 90.00
Positions (direct):
1 Co 0.490 0.125 0.250
2 Co 0.260 0.625 0.250
3 Co 0.375 0.510 0.750
4 Co 0.875 0.740 0.750
5 Zr 0.000 0.000 0.000
6 Zr 0.750 0.250 0.500
7 Cl 0.500 0.500 0.000
8 Cl 0.250 0.750 0.500

> What is the formula in the third record?

ZrCoCl2